[1]
A geometry-optimized NdHf2 structure. Source: OQMD via LeMat-Bulk, functional PBE-GGA.

Lattice parameters (Å, degrees): 3.2294 3.2294 14.9205 90.00 90.00 90.00
Last column: nearest neighbours and their distance in Å.
Space group I4/mmm (No. 139)
Inequivalent atoms, fractional coordinates:
Nd 0.0000 0.0000 0.0000 (multiplicity 2)  4 Nd 3.23, 8 Hf 3.55
Hf 0.0000 0.0000 0.3180 (multiplicity 4)  8 Hf 3.06-3.23

Output
**Calculated formation energy**: 0.15 eV/atom
**Crystal system**: tetragonal


[2]
A geometry-optimized MoH3 structure. Source: OQMD via LeMat-Bulk, functional PBE-GGA.

Lattice parameters (Å, degrees): 6.8855 6.8855 4.2270 90.00 90.00 90.00
Last column: nearest neighbours and their distance in Å.
Space group I4/m (No. 87)
Inequivalent atoms, fractional coordinates:
Mo 0.0945 0.6945 0.0000 (multiplicity 8)  8 H 1.84-1.95
H 0.0678 0.6457 0.5000 (multiplicity 8)  2 Mo 1.84-1.87, 2 H 1.92
H 0.0982 0.1801 0.2692 (multiplicity 16)  3 Mo 1.92-1.95, 5 H 1.92-2.10

Output
**Crystal system**: tetragonal


[3]
A geometry-optimized GaCoAgMo structure. Source: OQMD via LeMat-Bulk, functional PBE-GGA.

Lattice parameters (Å, degrees): 6.1795 6.1795 6.1795 90.00 90.00 90.00
Last column: nearest neighbours and their distance in Å.
Space group F-43m (No. 216)
Inequivalent atoms, fractional coordinates:
Ga 0.0000 0.0000 0.0000 (multiplicity 4)  4 Co 2.68, 4 Ag 2.68
Co 0.2500 0.2500 0.2500 (multiplicity 4)  4 Mo 2.68, 4 Ga 2.68
Ag 0.2500 0.2500 0.7500 (multiplicity 4)  4 Mo 2.68, 4 Ga 2.68
Mo 0.0000 0.0000 0.5000 (multiplicity 4)  4 Co 2.68, 4 Ag 2.68

Output
**Crystal system**: cubic


[4]
A geometry-optimized LiNbOsPb structure. Source: OQMD via LeMat-Bulk, functional PBE-GGA.

Lattice parameters (Å, degrees): 6.4486 6.4486 6.4486 90.00 90.00 90.00
Last column: nearest neighbours and their distance in Å.
Space group F-43m (No. 216)
Inequivalent atoms, fractional coordinates:
Li 0.0000 0.0000 0.0000 (multiplicity 4)  4 Pb 2.79, 4 Nb 2.79
Nb 0.2500 0.2500 0.7500 (multiplicity 4)  4 Li 2.79, 4 Os 2.79
Os 0.0000 0.0000 0.5000 (multiplicity 4)  4 Nb 2.79, 4 Pb 2.79
Pb 0.2500 0.2500 0.2500 (multiplicity 4)  4 Li 2.79, 4 Os 2.79

Output
**Crystal system**: cubic


| no. | calculated total energy (eV/cell) | magnetic moment (μB per formula unit) |
| --- | --- | --- |
| 1 | -48.4 | 0.025 |
| 2 | -164.0 | 0.000 |
| 3 | -89.1 | 0.673 |
| 4 | -107.5 | 0.000 |